# PBE NaSmBi2, optimized geometry
# - Energy: -0.14257 hartree per atom
# - Relative energy among the computed polymorphs: 0.117 eV/atom
data_NaSmBi2
_space_group_name_H-M_alt 'R 3 m'
_space_group_IT_number 160
_space_group_name_Hall 'R 3 -2"'
_cell_length_a 4.9201
_cell_length_b 4.9201
_cell_length_c 19.5214
_cell_angle_alpha 90.00
_cell_angle_beta 90.00
_cell_angle_gamma 120.00
loop_
_atom_site_label
_atom_site_type_symbol
_atom_site_fract_x
_atom_site_fract_y
_atom_site_fract_z
Na1 Na 0.0000 0.0000 0.0000
Sm1 Sm 0.0000 0.0000 0.1807
Bi1 Bi 0.0000 0.0000 0.5944
Bi2 Bi 0.0000 0.0000 0.7608

***

# PBE MgNbCrGa2, optimized geometry
# - Energy: -0.17342 hartree per atom
data_MgNbCrGa2
_space_group_name_H-M_alt 'P 4/m m m'
_space_group_IT_number 123
_space_group_name_Hall '-P 4 2'
_cell_length_a 5.0697
_cell_length_b 5.0697
_cell_length_c 4.6476
_cell_angle_alpha 90.00
_cell_angle_beta 90.00
_cell_angle_gamma 90.00
loop_
_atom_site_label
_atom_site_type_symbol
_atom_site_fract_x
_atom_site_fract_y
_atom_site_fract_z
Mg1 Mg 0.0000 0.0000 0.0000
Nb1 Nb 0.5000 0.5000 0.5000
Cr1 Cr 0.5000 0.5000 0.0000
Ga1 Ga 0.0000 0.5000 0.5000

***

# PBE LiOsW, optimized geometry
# - Energy: -0.31339 hartree per atom
# - Relative energy among the computed polymorphs: 0.000 eV/atom
data_LiOsW
_space_group_name_H-M_alt 'P 3 m 1'
_space_group_IT_number 156
_space_group_name_Hall 'P 3 -2"'
_cell_length_a 4.3019
_cell_length_b 4.3019
_cell_length_c 2.6618
_cell_angle_alpha 90.00
_cell_angle_beta 90.00
_cell_angle_gamma 120.00
loop_
_atom_site_label
_atom_site_type_symbol
_atom_site_fract_x
_atom_site_fract_y
_atom_site_fract_z
Li1 Li 0.0000 0.0000 0.0000
Os1 Os 0.6667 0.3333 0.3411
W1 W 0.3333 0.6667 0.6368

***

# PBE Sm4YTm5, optimized geometry
# - Energy: -0.16800 hartree per atom
# - Relative energy among the computed polymorphs: 0.000 eV/atom
data_Sm4YTm5
_space_group_name_H-M_alt 'P -1'
_space_group_IT_number 2
_space_group_name_Hall '-P 1'
_cell_length_a 3.5028
_cell_length_b 8.6938
_cell_length_c 11.1230
_cell_angle_alpha 90.19
_cell_angle_beta 90.00
_cell_angle_gamma 101.57
loop_
_atom_site_label
_atom_site_type_symbol
_atom_site_fract_x
_atom_site_fract_y
_atom_site_fract_z
Sm1 Sm 0.0312 0.0629 0.2482
Sm2 Sm 0.3449 0.6885 0.2501
Y1 Y 0.5000 0.0000 0.5000
Tm1 Tm 0.1730 0.3468 0.0493
Tm2 Tm 0.1741 0.3488 0.4479
Tm3 Tm 0.5000 0.0000 0.0000

***

Number 1: formation energy from the elements -429 meV per atom. Number 2: formation energy from the elements 749 meV per atom. Number 3: formation energy from the elements 171 meV per atom. Number 4: formation energy from the elements 198 meV per atom.